First-principles (GGA-PBE) data for a relaxed SrMn3Cu crystal, as listed in Alexandria via LeMat-Bulk.

Values from the calculation:
Formation enthalpy at 0 K   3.35 eV/f.u.
Magnetization   12.2 μB per cell
Energy above the most stable polymorph in this dataset   0.0 meV per atom

Unit cell a=4.791 b=4.791 c=4.791 alpha=90.00 beta=90.00 gamma=90.00
Site moments in Bohr magnetons follow the coordinates.
Element x y z (fractional)
Mn: 0.000 0.500 0.000  3.94
Mn: 0.000 0.000 0.500  4.00
Mn: 0.500 0.000 0.000  3.71
Cu: 0.000 0.000 0.000  0.23
Sr: 0.500 0.500 0.500  -0.05